No. 1
Density functional theory data (GGA-PBE) for crystalline CsCdIBr2 at its relaxed geometry.

Results
Formation energy from raw total energies   -1.121 eV/atom
Symmetry   No. 123
Raw total energy   -2.454 eV/atom
Density of states at the Fermi level   0.33 states/eV/cell
Magnetic moment   0.0 μB per cell

```
data_CsCdIBr2
_symmetry_space_group_name_H-M 'P 1'
_symmetry_Int_Tables_number 1
_symmetry_space_group_name_Hall 'P 1'
_cell_length_a 5.656
_cell_length_b 5.656
_cell_length_c 5.974
_cell_angle_alpha 90.00
_cell_angle_beta 90.00
_cell_angle_gamma 90.00
loop_
_atom_site_label
_atom_site_type_symbol
_atom_site_fract_x
_atom_site_fract_y
_atom_site_fract_z
Cs1 Cs 0.000 0.000 0.000
Cd1 Cd 0.500 0.500 0.500
I1 I 0.500 0.500 0.000
Br1 Br 0.000 0.500 0.500
Br2 Br 0.500 0.000 0.500
```

=====

No. 2
Density functional theory data (GGA-PBE) for crystalline CsCdIBr2 at its relaxed geometry.

Results
Formation energy from raw total energies   -1.163 eV/atom
Symmetry   No. 11
Raw total energy   -2.496 eV/atom
Density of states at the Fermi level   0.00 states/eV/cell
Magnetic moment   0.0 μB per cell

```
data_CsCdIBr2
_symmetry_space_group_name_H-M 'P 1'
_symmetry_Int_Tables_number 1
_symmetry_space_group_name_Hall 'P 1'
_cell_length_a 8.654
_cell_length_b 6.356
_cell_length_c 9.275
_cell_angle_alpha 90.00
_cell_angle_beta 106.53
_cell_angle_gamma 90.00
loop_
_atom_site_label
_atom_site_type_symbol
_atom_site_fract_x
_atom_site_fract_y
_atom_site_fract_z
Cs1 Cs 0.210 0.250 0.328
Cs2 Cs 0.790 0.750 0.672
Cd1 Cd 0.415 0.250 0.844
Cd2 Cd 0.585 0.750 0.156
I1 I 0.083 0.250 0.726
I2 I 0.917 0.750 0.274
Br1 Br 0.415 0.750 0.346
Br2 Br 0.444 0.750 0.866
Br3 Br 0.556 0.250 0.134
Br4 Br 0.585 0.250 0.654
```

=====

No. 3
Density functional theory data (GGA-PBE) for crystalline CsCdInBr4 at its relaxed geometry.

Results
Formation energy from raw total energies   -1.082 eV/atom
Symmetry   No. 11
Raw total energy   -2.682 eV/atom
Density of states at the Fermi level   0.00 states/eV/cell
Magnetic moment   0.0 μB per cell

```
data_CsCdInBr4
_symmetry_space_group_name_H-M 'P 1'
_symmetry_Int_Tables_number 1
_symmetry_space_group_name_Hall 'P 1'
_cell_length_a 7.991
_cell_length_b 7.887
_cell_length_c 9.876
_cell_angle_alpha 90.00
_cell_angle_beta 108.47
_cell_angle_gamma 90.00
loop_
_atom_site_label
_atom_site_type_symbol
_atom_site_fract_x
_atom_site_fract_y
_atom_site_fract_z
Cs1 Cs 0.240 0.250 0.449
Cs2 Cs 0.760 0.750 0.551
Cd1 Cd 0.260 0.750 0.180
Cd2 Cd 0.740 0.250 0.820
In1 In 0.281 0.250 0.963
In2 In 0.719 0.750 0.037
Br1 Br 0.047 0.750 0.917
Br2 Br 0.088 0.750 0.367
Br3 Br 0.482 0.009 0.233
Br4 Br 0.482 0.491 0.233
Br5 Br 0.518 0.509 0.767
Br6 Br 0.518 0.991 0.767
Br7 Br 0.912 0.250 0.633
Br8 Br 0.953 0.250 0.083
```

=====

No. 4
Density functional theory data (GGA-PBE) for crystalline Cs2CdInBr4 at its relaxed geometry.

Results
Formation energy from raw total energies   -1.075 eV/atom
Symmetry   No. 70
Raw total energy   -2.581 eV/atom
Density of states at the Fermi level   4.18 states/eV/cell
Magnetic moment   0.0 μB per cell

```
data_Cs2CdInBr4
_symmetry_space_group_name_H-M 'P 1'
_symmetry_Int_Tables_number 1
_symmetry_space_group_name_Hall 'P 1'
_cell_length_a 17.839
_cell_length_b 15.826
_cell_length_c 9.130
_cell_angle_alpha 86.91
_cell_angle_beta 62.36
_cell_angle_gamma 30.73
loop_
_atom_site_label
_atom_site_type_symbol
_atom_site_fract_x
_atom_site_fract_y
_atom_site_fract_z
Cs1 Cs 0.035 0.035 0.715
Cs2 Cs 0.285 0.285 0.965
Cs3 Cs 0.715 0.715 0.035
Cs4 Cs 0.965 0.965 0.285
Cd1 Cd 0.375 0.375 0.375
Cd2 Cd 0.625 0.625 0.625
In1 In 0.125 0.125 0.125
In2 In 0.875 0.875 0.875
Br1 Br 0.084 0.295 0.392
Br2 Br 0.271 0.608 0.705
Br3 Br 0.295 0.084 0.729
Br4 Br 0.392 0.729 0.084
Br5 Br 0.608 0.271 0.916
Br6 Br 0.705 0.916 0.271
Br7 Br 0.729 0.392 0.295
Br8 Br 0.916 0.705 0.608
```

=====

No. 5
Density functional theory data (GGA-PBE) for crystalline Cs3CdIn3Br8 at its relaxed geometry.

Results
Formation energy from raw total energies   -1.135 eV/atom
Symmetry   No. 166
Raw total energy   -2.806 eV/atom
Density of states at the Fermi level   0.00 states/eV/cell
Magnetic moment   0.0 μB per cell

```
data_Cs3CdIn3Br8
_symmetry_space_group_name_H-M 'P 1'
_symmetry_Int_Tables_number 1
_symmetry_space_group_name_Hall 'P 1'
_cell_length_a 9.592
_cell_length_b 9.592
_cell_length_c 9.592
_cell_angle_alpha 62.90
_cell_angle_beta 62.90
_cell_angle_gamma 62.90
loop_
_atom_site_label
_atom_site_type_symbol
_atom_site_fract_x
_atom_site_fract_y
_atom_site_fract_z
Cs1 Cs 0.000 0.500 0.500
Cs2 Cs 0.500 0.000 0.500
Cs3 Cs 0.500 0.500 0.000
Cd1 Cd 0.000 0.000 0.000
In1 In 0.000 0.000 0.500
In2 In 0.000 0.500 0.000
In3 In 0.500 0.000 0.000
Br1 Br 0.192 0.793 0.793
Br2 Br 0.207 0.207 0.808
Br3 Br 0.207 0.808 0.207
Br4 Br 0.241 0.241 0.241
Br5 Br 0.759 0.759 0.759
Br6 Br 0.793 0.192 0.793
Br7 Br 0.793 0.793 0.192
Br8 Br 0.808 0.207 0.207
```

=====

No. 6
Density functional theory data (GGA-PBE) for crystalline Cs3Cd2InBr9 at its relaxed geometry.

Results
Formation energy from raw total energies   -1.222 eV/atom
Symmetry   No. 164
Raw total energy   -2.701 eV/atom
Density of states at the Fermi level   1.68 states/eV/cell
Magnetic moment   0.0 μB per cell

```
data_Cs3Cd2InBr9
_symmetry_space_group_name_H-M 'P 1'
_symmetry_Int_Tables_number 1
_symmetry_space_group_name_Hall 'P 1'
_cell_length_a 7.995
_cell_length_b 7.995
_cell_length_c 9.800
_cell_angle_alpha 90.00
_cell_angle_beta 90.00
_cell_angle_gamma 120.00
loop_
_atom_site_label
_atom_site_type_symbol
_atom_site_fract_x
_atom_site_fract_y
_atom_site_fract_z
Cs1 Cs 0.000 0.000 0.000
Cs2 Cs 0.333 0.667 0.670
Cs3 Cs 0.667 0.333 0.330
Cd1 Cd 0.333 0.667 0.163
Cd2 Cd 0.667 0.333 0.837
In1 In 0.000 0.000 0.500
Br1 Br 0.000 0.500 0.000
Br2 Br 0.168 0.336 0.334
Br3 Br 0.168 0.832 0.334
Br4 Br 0.336 0.168 0.666
Br5 Br 0.500 0.000 0.000
Br6 Br 0.500 0.500 0.000
Br7 Br 0.664 0.832 0.334
Br8 Br 0.832 0.168 0.666
Br9 Br 0.832 0.664 0.666
```

=====

No. 7
Density functional theory data (GGA-PBE) for crystalline CsCdInBr6 at its relaxed geometry.

Results
Formation energy from raw total energies   -1.067 eV/atom
Symmetry   No. 149
Raw total energy   -2.683 eV/atom
Density of states at the Fermi level   0.00 states/eV/cell
Magnetic moment   0.0 μB per cell

```
data_CsCdInBr6
_symmetry_space_group_name_H-M 'P 1'
_symmetry_Int_Tables_number 1
_symmetry_space_group_name_Hall 'P 1'
_cell_length_a 7.195
_cell_length_b 7.195
_cell_length_c 8.177
_cell_angle_alpha 90.00
_cell_angle_beta 90.00
_cell_angle_gamma 120.00
loop_
_atom_site_label
_atom_site_type_symbol
_atom_site_fract_x
_atom_site_fract_y
_atom_site_fract_z
Cs1 Cs 0.000 0.000 0.000
Cd1 Cd 0.333 0.667 0.500
In1 In 0.667 0.333 0.500
Br1 Br 0.379 0.009 0.695
Br2 Br 0.379 0.369 0.305
Br3 Br 0.631 0.009 0.305
Br4 Br 0.631 0.621 0.695
Br5 Br 0.991 0.369 0.695
Br6 Br 0.991 0.621 0.305
```

=====

No. 8
Density functional theory data (GGA-PBE) for crystalline CsCdIn2Br8 at its relaxed geometry.

Results
Formation energy from raw total energies   -0.910 eV/atom
Symmetry   No. 148
Raw total energy   -2.629 eV/atom
Density of states at the Fermi level   2.66 states/eV/cell
Magnetic moment   0.0 μB per cell

```
data_CsCdIn2Br8
_symmetry_space_group_name_H-M 'P 1'
_symmetry_Int_Tables_number 1
_symmetry_space_group_name_Hall 'P 1'
_cell_length_a 11.187
_cell_length_b 11.187
_cell_length_c 11.187
_cell_angle_alpha 37.70
_cell_angle_beta 37.70
_cell_angle_gamma 37.70
loop_
_atom_site_label
_atom_site_type_symbol
_atom_site_fract_x
_atom_site_fract_y
_atom_site_fract_z
Cs1 Cs 0.000 0.000 0.000
Cd1 Cd 0.500 0.500 0.500
In1 In 0.248 0.248 0.248
In2 In 0.752 0.752 0.752
Br1 Br 0.121 0.434 0.779
Br2 Br 0.221 0.879 0.566
Br3 Br 0.331 0.331 0.331
Br4 Br 0.434 0.779 0.121
Br5 Br 0.566 0.221 0.879
Br6 Br 0.669 0.669 0.669
Br7 Br 0.779 0.121 0.434
Br8 Br 0.879 0.566 0.221
```